Density functional theory data (GGA-PBEsol) for a relaxed structure of ZrAl2Ni.

It has space group Pmma (No. 51), with a = 4.892 Å, b = 3.937 Å, c = 6.465 Å, α = 90.00°, β = 90.00° and γ = 90.00°. Symmetry generates all atoms from Zr at (0.250, 0.000, 0.197), Al at (0.000, 0.500, 0.500), Al at (0.250, 0.500, 0.871) and Ni at (0.250, 0.000, 0.630).

The formation energy comes out at -565 meV/atom.


Density functional theory data (GGA-PBEsol) for a relaxed structure of Zr6Al7Ni16.

It has space group Fm-3m (No. 225), with a = 11.555 Å, b = 11.555 Å, c = 11.555 Å, α = 90.00°, β = 90.00° and γ = 90.00°. Symmetry generates all atoms from Zr at (0.000, 0.000, 0.208), Al at (0.000, 0.000, 0.500), Al at (0.000, 0.250, 0.250), Ni at (0.121, 0.121, 0.379) and Ni at (0.169, 0.169, 0.169).

The formation energy comes out at -624 meV/atom.